# 1
PaZnOsRu after structural relaxation. Source: Alexandria, functional PBE.

Cell: 3.6957 4.2542 4.2830 Å, 90.00 90.00 90.00°
With the nearest neighbours (Å) after each atom.
Sites, in units of the cell vectors:
Pa 0.0000 0.0000 0.0000  4 Ru 2.82, 4 Os 2.83, 4 Zn 3.02
Zn 0.0000 0.5000 0.5000  4 Os 2.82, 4 Ru 2.83, 4 Pa 3.02
Os 0.5000 0.0000 0.5000  4 Zn 2.82, 4 Pa 2.83, 4 Ru 3.02
Ru 0.5000 0.5000 0.0000  4 Pa 2.82, 4 Zn 2.83, 4 Os 3.02

Results
V   67 Å³ per cell
Formation enthalpy at 0 K   -352 meV per atom
Raw total energy   -32.68 eV per cell

# 2
PaZnOsRu after structural relaxation. Source: Alexandria, functional PBE.

Cell: 6.5203 6.5203 6.5203 Å, 90.00 90.00 90.00°
With the nearest neighbours (Å) after each atom.
Sites, in units of the cell vectors:
Pa 0.0000 0.0000 0.0000  4 Ru 2.82, 4 Os 2.82
Pa 0.0000 0.5000 0.5000  4 Ru 2.82, 4 Os 2.82
Pa 0.5000 0.0000 0.5000  4 Ru 2.82, 4 Os 2.82
Pa 0.5000 0.5000 0.0000  4 Ru 2.82, 4 Os 2.82
Zn 0.0000 0.0000 0.5000  4 Os 2.82, 4 Ru 2.82
Zn 0.0000 0.5000 0.0000  4 Os 2.82, 4 Ru 2.82
Zn 0.5000 0.0000 0.0000  4 Os 2.82, 4 Ru 2.82
Zn 0.5000 0.5000 0.5000  4 Os 2.82, 4 Ru 2.82
Os 0.2500 0.2500 0.7500  4 Pa 2.82, 4 Zn 2.82
Os 0.2500 0.7500 0.2500  4 Pa 2.82, 4 Zn 2.82
Os 0.7500 0.2500 0.2500  4 Pa 2.82, 4 Zn 2.82
Os 0.7500 0.7500 0.7500  4 Pa 2.82, 4 Zn 2.82
Ru 0.2500 0.2500 0.2500  4 Zn 2.82, 4 Pa 2.82
Ru 0.2500 0.7500 0.7500  4 Pa 2.82, 4 Zn 2.82
Ru 0.7500 0.2500 0.7500  4 Pa 2.82, 4 Zn 2.82
Ru 0.7500 0.7500 0.2500  4 Pa 2.82, 4 Zn 2.82

Results
V   277 Å³ per cell
Formation enthalpy at 0 K   -199 meV per atom
Raw total energy   -128.29 eV per cell

# 3
ZrPaOsRu after structural relaxation. Source: Alexandria, functional PBE.

Cell: 6.7307 6.7307 6.7307 Å, 90.00 90.00 90.00°
With the nearest neighbours (Å) after each atom.
Sites, in units of the cell vectors:
Zr 0.0000 0.0000 0.0000  4 Os 2.91, 4 Ru 2.91
Zr 0.0000 0.5000 0.5000  4 Os 2.91, 4 Ru 2.91
Zr 0.5000 0.0000 0.5000  4 Os 2.91, 4 Ru 2.91
Zr 0.5000 0.5000 0.0000  4 Os 2.91, 4 Ru 2.91
Pa 0.0000 0.0000 0.5000  4 Ru 2.91, 4 Os 2.91
Pa 0.0000 0.5000 0.0000  4 Ru 2.91, 4 Os 2.91
Pa 0.5000 0.0000 0.0000  4 Ru 2.91, 4 Os 2.91
Pa 0.5000 0.5000 0.5000  4 Ru 2.91, 4 Os 2.91
Os 0.2500 0.2500 0.2500  4 Zr 2.91, 4 Pa 2.91
Os 0.2500 0.7500 0.7500  4 Zr 2.91, 4 Pa 2.91
Os 0.7500 0.2500 0.7500  4 Zr 2.91, 4 Pa 2.91
Os 0.7500 0.7500 0.2500  4 Zr 2.91, 4 Pa 2.91
Ru 0.2500 0.2500 0.7500  4 Zr 2.91, 4 Pa 2.91
Ru 0.2500 0.7500 0.2500  4 Zr 2.91, 4 Pa 2.91
Ru 0.7500 0.2500 0.2500  4 Zr 2.91, 4 Pa 2.91
Ru 0.7500 0.7500 0.7500  4 Zr 2.91, 4 Pa 2.91

Results
V   305 Å³ per cell
Formation enthalpy at 0 K   -354 meV per atom
Raw total energy   -159.86 eV per cell

# 4
PaOsS after structural relaxation. Source: Alexandria, functional PBE.

Cell: 3.8144 3.8818 8.1791 Å, 85.43 86.87 89.53°
With the nearest neighbours (Å) after each atom.
Sites, in units of the cell vectors:
Pa 0.2201 0.2030 0.2392  3 Os 2.72-2.99, 5 S 2.86-2.97
Pa 0.7799 0.7970 0.7608  3 Os 2.72-2.99, 5 S 2.86-2.97
Os 0.2612 0.7339 0.5036  4 Os 2.56-2.86, 2 Pa 2.72-2.74
Os 0.7388 0.2661 0.4964  4 Os 2.56-2.86, 2 Pa 2.72-2.74
S 0.2653 0.2729 0.8749  5 Pa 2.86-2.97
S 0.7347 0.7271 0.1251  5 Pa 2.86-2.97

Results
V   121 Å³ per cell
Raw total energy   -54.63 eV per cell

# 5
PaOsS2 after structural relaxation. Source: Alexandria, functional PBE.

Cell: 3.1568 3.1568 25.9894 Å, 90.00 90.00 120.00°
With the nearest neighbours (Å) after each atom.
Sites, in units of the cell vectors:
Pa 0.0000 0.0000 0.0000  6 S 2.77
Pa 0.3333 0.6667 0.6667  6 S 2.77
Pa 0.6667 0.3333 0.3333  6 S 2.77
Os 0.0000 0.0000 0.5000  2 S 2.25
Os 0.3333 0.6667 0.1667  2 S 2.25
Os 0.6667 0.3333 0.8333  2 S 2.25
S 0.0000 0.0000 0.4136  1 Os 2.25
S 0.0000 0.0000 0.5864  1 Os 2.25
S 0.3333 0.6667 0.0802  1 Os 2.25
S 0.3333 0.6667 0.2531  1 Os 2.25
S 0.6667 0.3333 0.7469  1 Os 2.25
S 0.6667 0.3333 0.9198  1 Os 2.25

Results
V   224 Å³ per cell
Raw total energy   -88.54 eV per cell

# 6
Pa4OsSe2S after structural relaxation. Source: Alexandria, functional PBE.

Cell: 7.0164 3.8899 7.1777 Å, 90.00 108.11 90.00°
With the nearest neighbours (Å) after each atom.
Sites, in units of the cell vectors:
Pa 0.2391 0.0000 0.2241  2 Os 2.74, 1 S 2.79, 3 Se 2.97
Pa 0.2579 0.5000 0.7707  2 S 2.76, 1 Os 2.80, 3 Se 2.94-2.95
Pa 0.7421 0.5000 0.2293  2 S 2.76, 1 Os 2.80, 3 Se 2.94-2.95
Pa 0.7609 0.0000 0.7759  2 Os 2.74, 1 S 2.79, 3 Se 2.97
Os 0.0000 0.5000 0.0000  6 Pa 2.74-2.80
Se 0.0000 0.0000 0.5000  6 Pa 2.94-2.97
Se 0.5000 0.5000 0.5000  6 Pa 2.95-2.97
S 0.5000 0.0000 0.0000  6 Pa 2.76-2.79

Results
V   186 Å³ per cell
Raw total energy   -69.11 eV per cell

# 7
Pa4SiOsS2 after structural relaxation. Source: Alexandria, functional PBE.

Cell: 6.9013 3.9092 6.9968 Å, 90.00 108.34 90.00°
With the nearest neighbours (Å) after each atom.
Sites, in units of the cell vectors:
Pa 0.2447 0.0000 0.2407  2 Os 2.78, 3 S 2.79-2.86, 1 Si 2.84
Pa 0.2511 0.5000 0.7586  1 Os 2.77, 3 S 2.79-2.86, 2 Si 2.85
Pa 0.7489 0.5000 0.2414  1 Os 2.77, 3 S 2.79-2.86, 2 Si 2.85
Pa 0.7553 0.0000 0.7593  2 Os 2.78, 3 S 2.79-2.86, 1 Si 2.84
Si 0.0000 0.0000 0.5000  6 Pa 2.84-2.85
Os 0.0000 0.5000 0.0000  6 Pa 2.77-2.78
S 0.5000 0.0000 0.0000  6 Pa 2.79
S 0.5000 0.5000 0.5000  6 Pa 2.86

Results
V   179 Å³ per cell
Raw total energy   -70.37 eV per cell

# 8
Pa4Te2OsS after structural relaxation. Source: Alexandria, functional PBE.

Cell: 7.1374 3.9834 7.5699 Å, 90.00 107.74 90.00°
With the nearest neighbours (Å) after each atom.
Sites, in units of the cell vectors:
Pa 0.2332 0.0000 0.2016  2 Os 2.74, 1 S 2.78
Pa 0.2674 0.5000 0.7944  2 S 2.75, 1 Os 2.81
Pa 0.7326 0.5000 0.2056  2 S 2.75, 1 Os 2.81
Pa 0.7668 0.0000 0.7984  2 Os 2.74, 1 S 2.78
Te 0.0000 0.0000 0.5000  6 Pa 3.16-3.19
Te 0.5000 0.5000 0.5000  6 Pa 3.16-3.17
Os 0.0000 0.5000 0.0000  6 Pa 2.74-2.81
S 0.5000 0.0000 0.0000  6 Pa 2.75-2.78

Results
V   205 Å³ per cell
Raw total energy   -66.52 eV per cell

# 9
ThPaOsS after structural relaxation. Source: Alexandria, functional PBE.

Cell: 3.9580 3.9580 21.6746 Å, 90.00 90.00 120.00°
With the nearest neighbours (Å) after each atom.
Sites, in units of the cell vectors:
Th 0.0000 0.0000 0.0000  3 Os 2.90, 3 S 3.09
Th 0.3333 0.6667 0.6667  3 Os 2.90, 3 S 3.09
Th 0.6667 0.3333 0.3333  3 Os 2.90, 3 S 3.09
Pa 0.0000 0.0000 0.8168  3 Os 2.72, 3 S 2.97
Pa 0.3333 0.6667 0.4835  3 Os 2.72, 3 S 2.97
Pa 0.6667 0.3333 0.1502  3 Os 2.72, 3 S 2.97
Os 0.0000 0.0000 0.4157  3 Pa 2.72, 3 Th 2.90
Os 0.3333 0.6667 0.0824  3 Pa 2.72, 3 Th 2.90
Os 0.6667 0.3333 0.7491  3 Pa 2.72, 3 Th 2.90
S 0.0000 0.0000 0.2376  3 Pa 2.97, 3 Th 3.09
S 0.3333 0.6667 0.9042  3 Pa 2.97, 3 Th 3.09
S 0.6667 0.3333 0.5709  3 Pa 2.97, 3 Th 3.09

Results
V   294 Å³ per cell
Raw total energy   -107.51 eV per cell

# 10
Pa2SbOs after structural relaxation. Source: Alexandria, functional PBE.

Cell: 3.2482 3.2482 8.5366 Å, 90.00 90.00 90.00°
With the nearest neighbours (Å) after each atom.
Sites, in units of the cell vectors:
Pa 0.0000 0.0000 0.2210  4 Os 2.97, 4 Pa 3.25, 4 Sb 3.31
Pa 0.0000 0.0000 0.7790  4 Os 2.97, 4 Pa 3.25, 4 Sb 3.31
Sb 0.5000 0.5000 0.5000  4 Sb 3.25, 8 Pa 3.31
Os 0.5000 0.5000 0.0000  8 Pa 2.97, 4 Os 3.25

Results
V   90 Å³ per cell
Raw total energy   -35.79 eV per cell

# 11
Pa8Sb2Os after structural relaxation. Source: Alexandria, functional PBE.

Cell: 9.0805 9.0805 7.5701 Å, 99.53 99.53 27.01°
With the nearest neighbours (Å) after each atom.
Sites, in units of the cell vectors:
Pa 0.0161 0.0161 0.2489  2 Os 2.82, 2 Pa 2.88
Pa 0.2144 0.2144 0.3588  8 Pa 3.12-3.47, 3 Sb 3.18-3.28
Pa 0.3471 0.3471 0.9421  1 Os 2.66
Pa 0.4100 0.4100 0.5283  2 Pa 2.88, 2 Sb 3.21
Pa 0.5900 0.5900 0.4717  2 Pa 2.88, 2 Sb 3.21
Pa 0.6529 0.6529 0.0579  1 Os 2.66
Pa 0.7856 0.7856 0.6412  8 Pa 3.12-3.47, 3 Sb 3.18-3.28
Pa 0.9839 0.9839 0.7511  2 Os 2.82, 2 Pa 2.88
Sb 0.1705 0.1705 0.7633  9 Pa 3.13-3.28
Sb 0.8295 0.8295 0.2367  9 Pa 3.13-3.28
Os 0.5000 0.5000 0.0000  6 Pa 2.66-2.82

Results
V   279 Å³ per cell
Raw total energy   -96.86 eV per cell

# 12
Pa3SbOs after structural relaxation. Source: Alexandria, functional PBE.

Cell: 8.0602 8.0602 5.0639 Å, 90.00 90.00 124.86°
With the nearest neighbours (Å) after each atom.
Sites, in units of the cell vectors:
Pa 0.0000 0.5000 0.5000  2 Os 2.80
Pa 0.1229 0.8771 0.0000  2 Os 2.55
Pa 0.3244 0.3244 0.5000  1 Pa 2.62, 2 Os 2.84
Pa 0.5000 0.0000 0.5000  2 Os 2.80
Pa 0.6756 0.6756 0.5000  1 Pa 2.62, 2 Os 2.84
Pa 0.8771 0.1229 0.0000  2 Os 2.55
Sb 0.3552 0.6448 0.0000  9 Pa 3.32-3.52
Sb 0.6448 0.3552 0.0000  9 Pa 3.32-3.52
Os 0.1035 0.8965 0.5000  6 Pa 2.55-2.84
Os 0.8965 0.1035 0.5000  6 Pa 2.55-2.84

Results
V   270 Å³ per cell
Raw total energy   -89.04 eV per cell

Repeat the third record exactly.
ZrPaOsRu after structural relaxation. Source: Alexandria, functional PBE.

Cell: 6.7307 6.7307 6.7307 Å, 90.00 90.00 90.00°
With the nearest neighbours (Å) after each atom.
Sites, in units of the cell vectors:
Zr 0.0000 0.0000 0.0000  4 Os 2.91, 4 Ru 2.91
Zr 0.0000 0.5000 0.5000  4 Os 2.91, 4 Ru 2.91
Zr 0.5000 0.0000 0.5000  4 Os 2.91, 4 Ru 2.91
Zr 0.5000 0.5000 0.0000  4 Os 2.91, 4 Ru 2.91
Pa 0.0000 0.0000 0.5000  4 Ru 2.91, 4 Os 2.91
Pa 0.0000 0.5000 0.0000  4 Ru 2.91, 4 Os 2.91
Pa 0.5000 0.0000 0.0000  4 Ru 2.91, 4 Os 2.91
Pa 0.5000 0.5000 0.5000  4 Ru 2.91, 4 Os 2.91
Os 0.2500 0.2500 0.2500  4 Zr 2.91, 4 Pa 2.91
Os 0.2500 0.7500 0.7500  4 Zr 2.91, 4 Pa 2.91
Os 0.7500 0.2500 0.7500  4 Zr 2.91, 4 Pa 2.91
Os 0.7500 0.7500 0.2500  4 Zr 2.91, 4 Pa 2.91
Ru 0.2500 0.2500 0.7500  4 Zr 2.91, 4 Pa 2.91
Ru 0.2500 0.7500 0.2500  4 Zr 2.91, 4 Pa 2.91
Ru 0.7500 0.2500 0.2500  4 Zr 2.91, 4 Pa 2.91
Ru 0.7500 0.7500 0.7500  4 Zr 2.91, 4 Pa 2.91

Results
V   305 Å³ per cell
Formation enthalpy at 0 K   -354 meV per atom
Raw total energy   -159.86 eV per cell